The following is a GGA+U calculation of Mo3WO after structural relaxation, from Alexandria via LeMat-Bulk.

The structure in POSCAR format:
```
Mo3WO
1.0
5.242 0.000 0.000
0.000 5.242 0.000
0.000 0.000 5.242
O Mo W
1 3 1
direct
0.500 0.500 0.500
0.500 0.000 0.000
0.000 0.500 0.000
0.000 0.000 0.500
0.000 0.000 0.000
```

Values from the calculation:
VASP energy   -4.244 eV/atom
Total moment   1.90 μB/atom
Energy above the most stable polymorph in this dataset   1668 meV/atom